No. 1
First-principles (GGA-PBE) data for a geometry-optimized TcSn2Pt structure, as listed in the Alexandria database.

Lattice parameters (Å, degrees): 6.0188 6.0188 6.0188 104.97 104.97 118.90
Closest atoms and distances in Å follow each position.
Fractional positions:
Tc: 0.0000 0.0000 0.0000  4 Sn 2.75, 2 Pt 3.06
Tc: 0.7500 0.2500 0.5000  4 Sn 2.75, 2 Pt 3.06
Sn: 0.1347 0.1250 0.5097  2 Pt 2.65, 2 Tc 2.75
Sn: 0.3750 0.8653 0.9903  2 Pt 2.65, 2 Tc 2.75
Sn: 0.6153 0.6250 0.4903  2 Pt 2.65, 2 Tc 2.75
Sn: 0.8750 0.3847 0.0097  2 Pt 2.65, 2 Tc 2.75
Pt: 0.2500 0.7500 0.5000  4 Sn 2.65
Pt: 0.5000 0.5000 0.0000  4 Sn 2.65

## Properties
ΔE_f   1.36 eV per formula unit
Relative energy among the computed polymorphs   0.2713 eV/atom



No. 2
First-principles (GGA-PBE) data for a geometry-optimized TcSn3Pt structure, as listed in the Alexandria database.

Lattice parameters (Å, degrees): 5.0738 5.0738 5.0738 90.00 90.00 90.00
Closest atoms and distances in Å follow each position.
Fractional positions:
Tc: 0.0000 0.0000 0.0000  6 Sn 2.54
Sn: 0.0000 0.0000 0.5000  2 Tc 2.54
Sn: 0.0000 0.5000 0.0000  2 Tc 2.54
Sn: 0.5000 0.0000 0.0000  2 Tc 2.54
Pt: 0.5000 0.5000 0.5000  12 Sn 3.59

## Properties
ΔE_f   2.35 eV per formula unit
Relative energy among the computed polymorphs   0.0000 eV/atom



No. 3
First-principles (GGA-PBE) data for a geometry-optimized TcSn2Pt2 structure, as listed in the Alexandria database.

Lattice parameters (Å, degrees): 7.5217 7.5217 3.2740 90.00 90.00 90.00
Closest atoms and distances in Å follow each position.
Fractional positions:
Tc: 0.0000 0.0000 0.0000  4 Sn 2.84
Tc: 0.5000 0.5000 0.0000  4 Sn 2.84
Sn: 0.1576 0.3424 0.0000  6 Pt 2.70-2.78, 2 Tc 2.84
Sn: 0.3424 0.8424 0.0000  6 Pt 2.70-2.78, 2 Tc 2.84
Sn: 0.6576 0.1576 0.0000  6 Pt 2.70-2.78, 2 Tc 2.84
Sn: 0.8424 0.6576 0.0000  6 Pt 2.70-2.78, 2 Tc 2.84
Pt: 0.1408 0.6408 0.5000  6 Sn 2.70-2.78, 1 Pt 2.99
Pt: 0.3592 0.1408 0.5000  6 Sn 2.70-2.78, 1 Pt 2.99
Pt: 0.6408 0.8592 0.5000  6 Sn 2.70-2.78, 1 Pt 2.99
Pt: 0.8592 0.3592 0.5000  6 Sn 2.70-2.78, 1 Pt 2.99

## Properties
ΔE_f   0.44 eV per formula unit
Relative energy among the computed polymorphs   0.0000 eV/atom



No. 4
First-principles (GGA-PBE) data for a geometry-optimized Tc2SnPt2 structure, as listed in the Alexandria database.

Lattice parameters (Å, degrees): 6.7923 6.7923 3.7810 90.00 90.00 90.00
Closest atoms and distances in Å follow each position.
Fractional positions:
Tc: 0.1280 0.3720 0.0000  1 Tc 2.46, 2 Sn 2.67, 4 Pt 2.71
Tc: 0.3720 0.8720 0.0000  1 Tc 2.46, 2 Sn 2.67, 4 Pt 2.71
Tc: 0.6280 0.1280 0.0000  1 Tc 2.46, 2 Sn 2.67, 4 Pt 2.71
Tc: 0.8720 0.6280 0.0000  1 Tc 2.46, 2 Sn 2.67, 4 Pt 2.71
Sn: 0.0000 0.0000 0.0000  4 Tc 2.67
Sn: 0.5000 0.5000 0.0000  4 Tc 2.67
Pt: 0.1561 0.6561 0.5000  6 Tc 2.71-2.81, 1 Pt 3.00
Pt: 0.3439 0.1561 0.5000  6 Tc 2.71-2.81, 1 Pt 3.00
Pt: 0.6561 0.8439 0.5000  6 Tc 2.71-2.81, 1 Pt 3.00
Pt: 0.8439 0.3439 0.5000  6 Tc 2.71-2.81, 1 Pt 3.00

## Properties
ΔE_f   0.70 eV per formula unit



No. 5
First-principles (GGA-PBE) data for a geometry-optimized Tc2SnPt structure, as listed in the Alexandria database.

Lattice parameters (Å, degrees): 7.0122 7.0122 7.0122 129.92 129.92 73.54
Closest atoms and distances in Å follow each position.
Fractional positions:
Tc: 0.0913 0.6250 0.9663  2 Pt 2.41, 2 Sn 2.65
Tc: 0.3750 0.3413 0.4663  2 Pt 2.41, 2 Sn 2.65
Tc: 0.6587 0.1250 0.0337  2 Pt 2.41, 2 Sn 2.65
Tc: 0.8750 0.9087 0.5337  2 Pt 2.41, 2 Sn 2.65
Sn: 0.2500 0.7500 0.5000  4 Tc 2.65
Sn: 0.5000 0.5000 0.0000  4 Tc 2.65
Pt: 0.0000 0.0000 0.0000  4 Tc 2.41
Pt: 0.7500 0.2500 0.5000  4 Tc 2.41

## Properties
ΔE_f   4.67 eV per formula unit



No. 6
First-principles (GGA-PBE) data for a geometry-optimized TcSn2Pt2 structure, as listed in the Alexandria database.

Lattice parameters (Å, degrees): 7.4775 7.4775 7.4775 151.04 151.04 41.42
Closest atoms and distances in Å follow each position.
Fractional positions:
Tc: 0.0000 0.0000 0.0000  8 Sn 3.02
Sn: 0.3951 0.3951 0.0000  4 Pt 2.76, 1 Sn 2.93, 4 Tc 3.02
Sn: 0.6049 0.6049 0.0000  4 Pt 2.76, 1 Sn 2.93, 4 Tc 3.02
Pt: 0.2500 0.7500 0.5000  4 Pt 2.64, 4 Sn 2.76
Pt: 0.7500 0.2500 0.5000  4 Pt 2.64, 4 Sn 2.76

## Properties
ΔE_f   1.07 eV per formula unit
Relative energy among the computed polymorphs   0.1265 eV/atom



No. 7
First-principles (GGA-PBE) data for a geometry-optimized Tc2SnTePt structure, as listed in the Alexandria database.

Lattice parameters (Å, degrees): 5.0717 5.0717 5.1421 90.00 90.00 90.00
Closest atoms and distances in Å follow each position.
Fractional positions:
Tc: 0.0000 0.5000 0.0000  2 Pt 2.54
Tc: 0.5000 0.0000 0.0000  2 Pt 2.54
Sn: 0.0000 0.0000 0.5000  4 Te 3.59, 8 Tc 3.61
Te: 0.5000 0.5000 0.5000  2 Pt 2.57
Pt: 0.5000 0.5000 0.0000  4 Tc 2.54, 2 Te 2.57

## Properties
E_form (uncorrected)   1323 meV/atom



No. 8
First-principles (GGA-PBE) data for a geometry-optimized SnTePt structure, as listed in the Alexandria database.

Lattice parameters (Å, degrees): 7.3428 7.3428 6.2401 104.29 104.29 30.54
Closest atoms and distances in Å follow each position.
Fractional positions:
Sn: 0.1070 0.1070 0.2742  3 Pt 2.72-2.77
Sn: 0.8930 0.8930 0.7258  3 Pt 2.72-2.77
Te: 0.4176 0.4176 0.1629  1 Pt 2.56
Te: 0.5824 0.5824 0.8371  1 Pt 2.56
Pt: 0.3085 0.3085 0.4331  1 Te 2.56, 3 Sn 2.72-2.77, 2 Pt 2.81
Pt: 0.6915 0.6915 0.5669  1 Te 2.56, 3 Sn 2.72-2.77, 2 Pt 2.81

## Properties
E_form (uncorrected)   -110 meV/atom